First-principles (GGA-PBE) data for a relaxed Sm7Pb2N2 crystal, as listed in Alexandria.

The value obtained for the energy relative to the elements, uncorrected is -537.1 meV/atom.

The space group is C2/m (No. 12) and the conventional cell measures 11.141, 7.976 and 6.685 Å, with angles of 90.00, 96.72 and 90.00 degrees. The inequivalent atoms are Sm at (0.000, 0.000, 0.000), Sm at (0.074, 0.500, 0.786), Sm at (0.219, 0.294, 0.220), Pb at (0.000, 0.186, 0.500) and N at (0.226, 0.000, 0.027).

First-principles (GGA-PBE) data for a relaxed Er2CoGe3 crystal, as listed in Alexandria.

The polymorph energy (0 for the lowest one) comes out at 18 meV per atom. As for the formation energy: -0.61 eV/atom.

The space group is Pmm2 (No. 25) and the conventional cell measures 3.966, 4.199 and 7.048 Å, with angles of 90.00, 90.00 and 90.00 degrees. The inequivalent atoms are Er at (0.000, 0.000, 0.000), Er at (0.000, 0.500, 0.476), Co at (0.500, 0.000, 0.297), Ge at (0.500, 0.000, 0.622), Ge at (0.500, 0.500, 0.169) and Ge at (0.500, 0.500, 0.816).

First-principles (GGA-PBE) data for a relaxed BaSeCl2 crystal, as listed in Alexandria.

The polymorph energy (0 for the lowest one) comes out at 296 meV per atom. The value obtained for the energy relative to the elements, uncorrected is -1260.0 meV/atom.

The space group is I-42d (No. 122) and the conventional cell measures 5.033, 5.033 and 19.622 Å, with angles of 90.00, 90.00 and 90.00 degrees. The inequivalent atoms are Ba at (0.000, 0.000, 0.000), Se at (0.000, 0.000, 0.500) and Cl at (0.216, 0.250, 0.625).

First-principles (GGA-PBE) data for a relaxed Mg2SiMo crystal, as listed in Alexandria.

The value obtained for the energy relative to the elements, uncorrected is 325.5 meV/atom.

The space group is P4/mmm (No. 123) and the conventional cell measures 3.622, 3.622 and 5.300 Å, with angles of 90.00, 90.00 and 90.00 degrees. The inequivalent atoms are Mg at (0.000, 0.000, 0.244), Si at (0.500, 0.500, 0.500) and Mo at (0.500, 0.500, 0.000).

First-principles (GGA-PBE) data for a relaxed NdDy2Ho3Sb6 crystal, as listed in Alexandria.

The value obtained for the energy relative to the elements, uncorrected is -1129.0 meV/atom.

The space group is C2/m (No. 12) and the conventional cell measures 19.173, 4.401 and 8.799 Å, with angles of 90.00, 103.21 and 90.00 degrees. The inequivalent atoms are Nd at (0.000, 0.000, 0.000), Dy at (0.167, 0.500, 0.334), Ho at (0.000, 0.000, 0.500), Ho at (0.166, 0.500, 0.832), Sb at (0.000, 0.500, 0.257), Sb at (0.166, 0.000, 0.584) and Sb at (0.169, 0.000, 0.084).

First-principles (GGA-PBE) data for a relaxed LiZrP2Cl crystal, as listed in Alexandria.

The polymorph energy (0 for the lowest one) comes out at 443 meV per atom. The value obtained for the energy relative to the elements, uncorrected is 44.2 meV/atom.

The space group is P4/mmm (No. 123) and the conventional cell measures 4.434, 4.434 and 4.410 Å, with angles of 90.00, 90.00 and 90.00 degrees. The inequivalent atoms are Li at (0.000, 0.000, 0.000), Zr at (0.500, 0.500, 0.500), P at (0.000, 0.500, 0.000) and Cl at (0.000, 0.000, 0.500).

First-principles (GGA-PBE) data for a relaxed La3Pr2Dy4 crystal, as listed in Alexandria.

The polymorph energy (0 for the lowest one) comes out at 9 meV per atom. As for the formation energy: 0.09 eV/atom.

The space group is C2/c (No. 15) and the conventional cell measures 16.690, 11.953 and 6.235 Å, with angles of 90.00, 97.79 and 90.00 degrees. The inequivalent atoms are La at (0.000, 0.126, 0.250), La at (0.162, 0.363, 0.092), Pr at (0.114, 0.131, 0.794), Dy at (0.056, 0.382, 0.538) and Dy at (0.229, 0.120, 0.361).

First-principles (GGA-PBE) data for a relaxed TaPbSe crystal, as listed in Alexandria.

The polymorph energy (0 for the lowest one) comes out at 5 meV per atom. The value obtained for the energy relative to the elements, uncorrected is -201.4 meV/atom.

The space group is P3m1 (No. 156) and the conventional cell measures 3.3641, 3.3641 and 7.3656 Å, with angles of 90.00, 90.00 and 120.00 degrees. The inequivalent atoms are Ta at (0.0000, 0.0000, 0.0000), Pb at (0.3333, 0.6667, 0.3374) and Se at (0.6667, 0.3333, 0.7731).

First-principles (GGA-PBE) data for a relaxed RbMg3Sn3 crystal, as listed in Alexandria.

The polymorph energy (0 for the lowest one) comes out at 199 meV per atom. As for the formation energy: 0.13 eV/atom.

The space group is Pm-3n (No. 223) and the conventional cell measures 8.069, 8.069 and 8.069 Å, with angles of 90.00, 90.00 and 90.00 degrees. The inequivalent atoms are Rb at (0.000, 0.000, 0.000), Mg at (0.000, 0.250, 0.500) and Sn at (0.000, 0.500, 0.250).

First-principles (GGA-PBE) data for a relaxed ZrMo2P crystal, as listed in Alexandria.

As for the formation energy: -0.28 eV/atom.

The space group is Pm (No. 6) and the conventional cell measures 3.273, 4.244 and 5.038 Å, with angles of 90.00, 107.57 and 90.00 degrees. The inequivalent atoms are Zr at (0.000, 0.000, 0.000), Mo at (0.326, 0.000, 0.532), Mo at (0.723, 0.500, 0.419) and P at (0.434, 0.500, 0.852).

First-principles (GGA-PBE) data for a relaxed RuPtBr2 crystal, as listed in Alexandria.

The polymorph energy (0 for the lowest one) comes out at 513 meV per atom. The value obtained for the energy relative to the elements, uncorrected is 667.8 meV/atom.

The space group is Imm2 (No. 44) and the conventional cell measures 3.049, 4.457 and 12.058 Å, with angles of 90.00, 90.00 and 90.00 degrees. The inequivalent atoms are Ru at (0.000, 0.000, 0.000), Pt at (0.000, 0.500, 0.317), Br at (0.000, 0.000, 0.463) and Br at (0.000, 0.500, 0.675).

First-principles (GGA-PBE) data for a relaxed TbHoTlIr crystal, as listed in Alexandria.

The polymorph energy (0 for the lowest one) comes out at 0 meV per atom. As for the formation energy: -0.61 eV/atom.

The space group is P4mm (No. 99) and the conventional cell measures 3.464, 3.464 and 8.057 Å, with angles of 90.00, 90.00 and 90.00 degrees. The inequivalent atoms are Tb at (0.000, 0.000, 0.000), Ho at (0.000, 0.000, 0.589), Tl at (0.500, 0.500, 0.297) and Ir at (0.500, 0.500, 0.791).

First-principles (GGA-PBE) data for a relaxed BaCa2Br crystal, as listed in Alexandria.

The value obtained for the energy relative to the elements, uncorrected is -468.0 meV/atom.

The space group is I4/mmm (No. 139) and the conventional cell measures 4.942, 4.942 and 14.471 Å, with angles of 90.00, 90.00 and 90.00 degrees. The inequivalent atoms are Ba at (0.000, 0.000, 0.000), Ca at (0.000, 0.500, 0.250) and Br at (0.000, 0.000, 0.500).

First-principles (GGA-PBE) data for a relaxed ScRh2Cl crystal, as listed in Alexandria.

The polymorph energy (0 for the lowest one) comes out at 315 meV per atom. The value obtained for the energy relative to the elements, uncorrected is -187.4 meV/atom.

The space group is I-4m2 (No. 119) and the conventional cell measures 3.824, 3.824 and 8.795 Å, with angles of 90.00, 90.00 and 90.00 degrees. The inequivalent atoms are Sc at (0.000, 0.000, 0.000), Rh at (0.000, 0.000, 0.500), Rh at (0.000, 0.500, 0.250) and Cl at (0.000, 0.500, 0.750).

First-principles (GGA-PBE) data for a relaxed AcAs2Pd5Pb crystal, as listed in Alexandria.

As for the formation energy: -0.63 eV/atom.

The space group is P4/mmm (No. 123) and the conventional cell measures 4.506, 4.506 and 8.647 Å, with angles of 90.00, 90.00 and 90.00 degrees. The inequivalent atoms are Ac at (0.000, 0.000, 0.000), As at (0.500, 0.500, 0.158), Pd at (0.000, 0.500, 0.287), Pd at (0.500, 0.500, 0.500) and Pb at (0.000, 0.000, 0.500).

First-principles (GGA-PBE) data for a relaxed TlNi2Se crystal, as listed in Alexandria.

The polymorph energy (0 for the lowest one) comes out at 43 meV per atom. The value obtained for the energy relative to the elements, uncorrected is 63.6 meV/atom.

The space group is I-42d (No. 122) and the conventional cell measures 4.694, 4.694 and 14.744 Å, with angles of 90.00, 90.00 and 90.00 degrees. The inequivalent atoms are Tl at (0.000, 0.000, 0.000), Ni at (0.117, 0.250, 0.625) and Se at (0.000, 0.000, 0.500).

First-principles (GGA-PBE) data for a relaxed Be5Co4Ir crystal, as listed in Alexandria.

As for the formation energy: -0.33 eV/atom.

The space group is P4/mmm (No. 123) and the conventional cell measures 2.665, 2.665 and 13.050 Å, with angles of 90.00, 90.00 and 90.00 degrees. The inequivalent atoms are Be at (0.000, 0.000, 0.000), Be at (0.000, 0.000, 0.194), Be at (0.000, 0.000, 0.386), Co at (0.500, 0.500, 0.097), Co at (0.500, 0.500, 0.290) and Ir at (0.500, 0.500, 0.500).

First-principles (GGA-PBE) data for a relaxed NdTm2O crystal, as listed in Alexandria.

The polymorph energy (0 for the lowest one) comes out at 583 meV per atom. The value obtained for the energy relative to the elements, uncorrected is -787.0 meV/atom.

The space group is P4/mmm (No. 123) and the conventional cell measures 3.183, 3.183 and 8.678 Å, with angles of 90.00, 90.00 and 90.00 degrees. The inequivalent atoms are Nd at (0.000, 0.000, 0.000), Tm at (0.500, 0.500, 0.323) and O at (0.000, 0.000, 0.500).

First-principles (GGA-PBE) data for a relaxed HoPaBi2C crystal, as listed in Alexandria.

As for the formation energy: -0.32 eV/atom.

The space group is P4/nmm (No. 129, origin choice 2) and the conventional cell measures 4.332, 4.332 and 13.637 Å, with angles of 90.00, 90.00 and 90.00 degrees. The inequivalent atoms are Ho at (0.250, 0.250, 0.089), Pa at (0.250, 0.250, 0.572), Bi at (0.250, 0.250, 0.319), Bi at (0.250, 0.250, 0.856) and C at (0.250, 0.750, 0.500).

First-principles (GGA-PBE) data for a relaxed CoNi5H5 crystal, as listed in Alexandria.

The space group is C2/m (No. 12) and the conventional cell measures 8.240, 3.696 and 5.198 Å, with angles of 90.00, 108.40 and 90.00 degrees. The inequivalent atoms are Co at (0.000, 0.000, 0.000), Ni at (0.000, 0.000, 0.500), Ni at (0.164, 0.500, 0.831), Ni at (0.167, 0.500, 0.335), H at (0.000, 0.500, 0.000), H at (0.162, 0.000, 0.830) and H at (0.163, 0.000, 0.332).

First-principles (GGA-PBE) data for a relaxed PuTiIrAu crystal, as listed in Alexandria.

As for the formation energy: -0.27 eV/atom.

The space group is F-43m (No. 216) and the conventional cell measures 6.753, 6.753 and 6.753 Å, with angles of 90.00, 90.00 and 90.00 degrees. The inequivalent atoms are Pu at (0.000, 0.000, 0.000), Ti at (0.000, 0.000, 0.500), Ir at (0.250, 0.250, 0.250) and Au at (0.250, 0.250, 0.750).

First-principles (GGA-PBE) data for a relaxed Ba2ReHg crystal, as listed in Alexandria.

As for the formation energy: 0.83 eV/atom.

The space group is I-4m2 (No. 119) and the conventional cell measures 4.861, 4.861 and 10.333 Å, with angles of 90.00, 90.00 and 90.00 degrees. The inequivalent atoms are Ba at (0.000, 0.000, 0.000), Ba at (0.000, 0.500, 0.250), Re at (0.000, 0.000, 0.500) and Hg at (0.000, 0.500, 0.750).

First-principles (GGA-PBE) data for a relaxed Ba4Sr3Hg crystal, as listed in Alexandria.

As for the formation energy: -0.13 eV/atom.

The space group is P4/mmm (No. 123) and the conventional cell measures 4.290, 4.290 and 23.382 Å, with angles of 90.00, 90.00 and 90.00 degrees. The inequivalent atoms are Ba at (0.000, 0.000, 0.085), Ba at (0.000, 0.000, 0.363), Sr at (0.500, 0.500, 0.226), Sr at (0.500, 0.500, 0.500) and Hg at (0.500, 0.500, 0.000).

First-principles (GGA-PBE) data for a relaxed BeCuTc2 crystal, as listed in Alexandria.

As for the formation energy: 0.14 eV/atom.

The space group is P4/mmm (No. 123) and the conventional cell measures 2.739, 2.739 and 6.548 Å, with angles of 90.00, 90.00 and 90.00 degrees. The inequivalent atoms are Be at (0.000, 0.000, 0.000), Cu at (0.000, 0.000, 0.500) and Tc at (0.500, 0.500, 0.217).

First-principles (GGA-PBE) data for a relaxed Zn6Cu3Ir crystal, as listed in Alexandria.

The polymorph energy (0 for the lowest one) comes out at 0 meV per atom. As for the formation energy: -0.13 eV/atom.

The space group is P2_1/m (No. 11) and the conventional cell measures 7.159, 4.287 and 9.428 Å, with angles of 90.00, 110.79 and 90.00 degrees. The inequivalent atoms are Zn at (0.002, 0.250, 0.175), Zn at (0.188, 0.750, 0.628), Zn at (0.205, 0.250, 0.963), Zn at (0.389, 0.750, 0.430), Zn at (0.400, 0.250, 0.265), Zn at (0.405, 0.250, 0.773), Cu at (0.003, 0.250, 0.664), Cu at (0.202, 0.250, 0.472), Cu at (0.399, 0.750, 0.930) and Ir at (0.193, 0.750, 0.127).

Number 1: Fermi-level density of states 13.3 states/eV/cell, E -126.0 eV for the cell shown, mass density 8.42 g/cm³. Number 2: Fermi-level density of states 3.5 states/eV/cell, E -33.7 eV for the cell shown, mass density 8.65 g/cm³. Number 3: Fermi-level density of states 3.9 states/eV/cell, E -56.6 eV for the cell shown, mass density 3.84 g/cm³. Number 4: Fermi-level density of states 3.4 states/eV/cell, E -18.1 eV for the cell shown, mass density 4.12 g/cm³. Number 5: Fermi-level density of states 3.8 states/eV/cell, E -132.0 eV for the cell shown, mass density 7.79 g/cm³. Number 6: Fermi-level density of states 2.8 states/eV/cell, E -22.9 eV for the cell shown, mass density 3.75 g/cm³. Number 7: Fermi-level density of states 59.0 states/eV/cell, E -167.7 eV for the cell shown, mass density 7.27 g/cm³. Number 8: Fermi-level density of states 2.8 states/eV/cell, E -19.6 eV for the cell shown, mass density 10.74 g/cm³. Number 9: Fermi-level density of states 10.7 states/eV/cell, E -33.7 eV for the cell shown, mass density 3.25 g/cm³. Number 10: Fermi-level density of states 2.7 states/eV/cell, E -36.7 eV for the cell shown, mass density 7.82 g/cm³. Number 11: Fermi-level density of states 9.8 states/eV/cell, E -32.0 eV for the cell shown, mass density 9.24 g/cm³. Number 12: Fermi-level density of states 3.1 states/eV/cell, E -22.9 eV for the cell shown, mass density 12.37 g/cm³. Number 13: Fermi-level density of states 8.3 states/eV/cell, E -18.9 eV for the cell shown, mass density 2.79 g/cm³. Number 14: Fermi-level density of states 6.4 states/eV/cell, E -47.3 eV for the cell shown, mass density 7.39 g/cm³. Number 15: Fermi-level density of states 4.4 states/eV/cell, E -48.8 eV for the cell shown, mass density 10.56 g/cm³. Number 16: Fermi-level density of states 13.8 states/eV/cell, E -68.6 eV for the cell shown, mass density 8.19 g/cm³. Number 17: Fermi-level density of states 9.9 states/eV/cell, E -59.3 eV for the cell shown, mass density 8.47 g/cm³. Number 18: Fermi-level density of states 4.1 states/eV/cell, E -21.8 eV for the cell shown, mass density 9.40 g/cm³. Number 19: Fermi-level density of states 7.6 states/eV/cell, E -65.3 eV for the cell shown, mass density 10.72 g/cm³. Number 20: Fermi-level density of states 21.5 states/eV/cell, E -105.9 eV for the cell shown, mass density 7.90 g/cm³. Number 21: Fermi-level density of states 38.9 states/eV/cell, E -141.8 eV for the cell shown, mass density 14.69 g/cm³. Number 22: Fermi-level density of states 8.4 states/eV/cell, E -26.5 eV for the cell shown, mass density 9.00 g/cm³. Number 23: Fermi-level density of states 10.4 states/eV/cell, E -14.0 eV for the cell shown, mass density 3.91 g/cm³. Number 24: Fermi-level density of states 3.5 states/eV/cell, E -28.0 eV for the cell shown, mass density 9.08 g/cm³. Number 25: Fermi-level density of states 5.9 states/eV/cell, E -60.1 eV for the cell shown, mass density 9.52 g/cm³.